DFT (PBE) results for crystalline LiCo2BiN at its relaxed geometry.

Structure (CIF):
```
data_LiCo2BiN
_cell_length_a 3.8401
_cell_length_b 3.8401
_cell_length_c 4.3409
_cell_angle_alpha 90.00
_cell_angle_beta 90.00
_cell_angle_gamma 90.00
_space_group_name_H-M_alt 'P 1'
_space_group_IT_number 1
_space_group_name_Hall 'P 1'
loop_
_atom_site_label
_atom_site_fract_x
_atom_site_fract_y
_atom_site_fract_z
Bi1 0.5000 0.5000 0.5000
N1 0.0000 0.0000 0.0000
Co1 0.0000 0.5000 0.0000
Co2 0.5000 0.0000 0.0000
Li1 0.0000 0.0000 0.5000
```

Results
E above lowest polymorph	0.000	eV/atom